## La2PmSmTe5 (PBE)

Data for La2PmSmTe5 after structural relaxation.

Its mass density is 5.41 Mg/m³. As for the density of states at the Fermi level: 0.656 states/eV/atom. Its formation energy without anion corrections is -923 meV per atom. As for the total magnetic moment: 1.3 Bohr magnetons per cell.

The space group is P4/mmm (No. 123) and the conventional cell measures 5.6105, 5.6105 and 11.8132 Å, with angles of 90.00, 90.00 and 90.00 degrees. The asymmetric unit holds La at (0.0000, 0.0000, 0.1666), Pm at (0.5000, 0.5000, 0.5000), Sm at (0.5000, 0.5000, 0.0000), Te at (0.0000, 0.0000, 0.5000), Te at (0.0000, 0.5000, 0.0000) and Te at (0.5000, 0.5000, 0.2536).